# 1
VASP calculation (GGA-PBE) on an optimized crystal structure of Pm3Y7Ho.

Unit cell a=5.553 b=10.242 c=8.885 alpha=106.39 beta=128.66 gamma=89.99
Element x y z (fractional)
Y  0.137  0.287  0.637
Y  0.316  0.634  0.816
Pm  0.715  0.995  0.215
Y  0.500  0.000  0.500
Y  0.684  0.366  0.184
Pm  0.000  0.500  0.000
Y  0.098  0.171  0.098
Ho  0.500  0.500  0.500
Y  0.863  0.713  0.363
Pm  0.285  0.005  0.785
Y  0.902  0.829  0.902

## Properties
V   33.5 A^3/atom
DFT formation energy   0.141 eV per atom

=====

# 2
VASP calculation (GGA-PBE) on an optimized crystal structure of Sr2CuAs.

Unit cell a=6.554 b=6.554 c=9.147 alpha=69.01 beta=69.01 gamma=90.00
Element x y z (fractional)
Sr  0.375  0.354  0.750
Sr  0.875  0.896  0.750
As  0.750  0.250  0.500
Sr  0.646  0.125  0.250
Cu  0.250  0.750  0.500
Cu  0.500  0.500  0.000
Sr  0.104  0.625  0.250
As  0.000  0.000  0.000

## Properties
V   42.3 A^3/atom
DFT formation energy   -0.182 eV per atom

=====

# 3
VASP calculation (GGA-PBE) on an optimized crystal structure of K2HgPt.

Unit cell a=5.342 b=5.342 c=5.342 alpha=60.00 beta=60.00 gamma=60.00
Element x y z (fractional)
K  0.000  0.000  0.000
K  0.250  0.250  0.250
Hg  0.500  0.500  0.500
Pt  0.750  0.750  0.750

## Properties
V   27.0 A^3/atom
DFT formation energy   -0.043 eV per atom

=====

# 4
VASP calculation (GGA-PBE) on an optimized crystal structure of Sm2ScCdO.

Unit cell a=4.420 b=4.965 c=4.965 alpha=90.00 beta=90.00 gamma=90.00
Element x y z (fractional)
Sm  0.000  0.000  0.500
Sc  0.500  0.000  0.000
O  0.000  0.000  0.000
Cd  0.500  0.500  0.500
Sm  0.000  0.500  0.000

## Properties
V   21.8 A^3/atom
E_form (uncorrected)   -1307 meV per atom

=====

# 5
VASP calculation (GGA-PBE) on an optimized crystal structure of HoErSc.

Unit cell a=3.366 b=5.416 c=5.416 alpha=120.00 beta=90.00 gamma=90.00
Element x y z (fractional)
Ho  0.667  0.667  0.333
Sc  0.167  0.333  0.667
Er  0.167  0.000  0.000

## Properties
V   28.5 A^3/atom
DFT formation energy   0.077 eV per atom

=====

# 6
VASP calculation (GGA-PBE) on an optimized crystal structure of Tm3Tl3CrS8.

Unit cell a=7.712 b=7.712 c=8.694 alpha=116.33 beta=89.99 gamma=120.00
Element x y z (fractional)
S  0.215  0.429  0.686
S  0.785  0.029  0.314
Tm  0.000  0.500  0.500
Tl  0.000  0.000  0.000
Tl  0.500  0.500  0.000
S  0.267  0.533  0.300
Tm  0.500  0.500  0.500
S  0.215  0.971  0.686
S  0.733  0.467  0.700
S  0.243  0.029  0.314
Tm  0.500  0.000  0.500
Tl  0.000  0.500  0.000
Cr  0.000  0.000  0.500
S  0.785  0.571  0.314
S  0.757  0.971  0.686

## Properties
V   25.6 A^3/atom
E_form (uncorrected)   -1247 meV per atom

=====

# 7
VASP calculation (GGA-PBE) on an optimized crystal structure of Li2TmBO4.

Unit cell a=3.066 b=5.289 c=9.433 alpha=90.00 beta=90.00 gamma=106.85
Element x y z (fractional)
O  0.000  0.000  0.000
Tm  0.933  0.865  0.250
Tm  0.067  0.135  0.750
O  0.398  0.795  0.750
B  0.788  0.575  0.750
O  0.602  0.205  0.250
Li  0.381  0.763  0.537
O  0.285  0.570  0.370
Li  0.381  0.763  0.963
O  0.715  0.430  0.630
Li  0.619  0.237  0.463
Li  0.619  0.237  0.037
O  0.285  0.570  0.130
O  0.000  0.000  0.500
B  0.212  0.425  0.250
O  0.715  0.430  0.870

## Properties
V   9.1 A^3/atom
E_form (uncorrected)   -2373 meV per atom

=====

# 8
VASP calculation (GGA-PBE) on an optimized crystal structure of SrCaRu2.

Unit cell a=3.435 b=3.435 c=8.808 alpha=90.00 beta=90.00 gamma=97.01
Element x y z (fractional)
Ru  0.500  0.500  0.170
Ru  0.000  0.000  0.069
Sr  0.000  0.000  0.427
Ca  0.500  0.500  0.834

## Properties
V   25.8 A^3/atom
DFT formation energy   0.324 eV per atom

=====

Respective E_tot values: -62.52, -25.67, -8.71, -28.18, -15.24, -81.86, -107.58, -20.94 eV for the cell shown.